Density functional theory data (GGA-PBE) for YMg2Zr after structural relaxation.

total moment	0.00	μB per formula unit
DFT formation energy	3.00	kJ per mole of atoms
total energy	-36.154	eV per cell
energy relative to the lowest polymorph listed for this composition	52	meV per atom
calculated density	3.907	g cm⁻³

Cell lengths 7.3043, 7.3295, 3.6320 Å; angles 90.00, 90.00, 90.00 degrees
Closest atoms and distances in Å follow each position.
Element x y z (fractional)
1 Y 0.0000 0.0000 0.0000  8 Mg 3.16
2 Y 0.5000 0.5000 0.0000  8 Mg 3.16
3 Mg 0.2500 0.2500 0.5000  4 Zr 3.16, 4 Y 3.16
4 Mg 0.2500 0.7500 0.5000  4 Zr 3.16, 4 Y 3.16
5 Mg 0.7500 0.2500 0.5000  4 Zr 3.16, 4 Y 3.16
6 Mg 0.7500 0.7500 0.5000  4 Zr 3.16, 4 Y 3.16
7 Zr 0.0000 0.5000 0.0000  8 Mg 3.16
8 Zr 0.5000 0.0000 0.0000  8 Mg 3.16